VASP calculation (GGA+U) on LiCaNiF6 after structural relaxation.

volume = 229.3 Å³ per cell
total energy = -4.689 eV/atom

Lattice parameters (Å, degrees): 4.884 4.884 9.617 90.00 90.00 90.00
Space group P4_2nm (No. 102)
Asymmetric unit:
1 Li 0.000 0.000 0.000 x2
2 Ca 0.000 0.000 0.663 x2
3 Ni 0.000 0.000 0.329 x2
4 F 0.178 0.178 0.174 x4
5 F 0.196 0.196 0.473 x4
6 F 0.224 0.224 0.836 x4